## ScPaS6 (GGA-PBE)

Data for a relaxed structure of ScPaS6.

Lattice parameters (Å, degrees): 10.216 10.216 10.216 90.00 90.00 90.00
Space group Fm-3m (No. 225)
One atom of each set of equivalent atoms:
Sc1 0.000 0.000 0.000 x4
Pa1 0.000 0.000 0.500 x4
S1 0.000 0.000 0.247 x24

Output
N(E_F) = 28.52 states/eV per cell
spin magnetization = 0.00 μB per cell
uncorrected formation energy = -0.665 eV/atom